# 1
Mn3WBr2O6: optimized geometry, PBE+U.

Calculated values
As for the volume: 15.54 Å³ per atom. As for the total energy: -6.597 eV per atom.

Cell and atoms, written as extended XYZ:
```
12
Lattice="-2.876 -1.038 5.100 0.712 -6.189 -0.858 3.381 3.036 3.951" Properties=species:S:1:pos:R:3 pbc="T T T"
Br -0.257 -0.909 6.346
Br 1.475 -3.281 1.847
Mn 0.253 0.999 4.525
Mn 0.609 -2.095 4.096
Mn 0.356 -3.095 -0.429
O 2.544 -2.077 4.484
O 2.155 1.310 4.954
O 0.750 -3.813 5.082
O 0.467 -0.378 3.111
O -1.327 -2.113 3.709
O -0.937 -5.501 3.239
W -1.438 -0.519 2.550
```

---

# 2
MnZnBrO2: optimized geometry, PBE+U.

Calculated values
For the density of states at the Fermi level, the calculation gives 0.006 states/eV per atom. As for the volume: 18.81 Å³ per atom. As for the total energy: -5.325 eV per atom.

Cell and atoms, written as extended XYZ:
```
10
Lattice="3.686 0.000 0.000 0.000 6.634 0.506 0.000 -0.931 7.621" Properties=species:S:1:pos:R:3 pbc="T T T"
Zn 2.765 1.654 4.168
Zn 0.922 4.049 3.958
O 2.765 3.643 3.250
O 2.765 2.054 7.040
O 0.922 2.060 4.877
O 0.922 3.649 1.086
Br 2.765 0.517 2.056
Br 0.922 5.186 6.071
Mn 0.922 2.491 6.751
Mn 2.765 3.212 1.376
```

---

# 3
MnZnBr2O: optimized geometry, PBE+U.

Calculated values
For the density of states at the Fermi level, the calculation gives 0.655 states/eV per atom. As for the volume: 21.26 Å³ per atom. As for the total energy: -3.784 eV per atom.

Cell and atoms, written as extended XYZ:
```
5
Lattice="-1.706 -1.898 -4.729 -1.216 -3.051 1.663 -4.777 2.333 0.786" Properties=species:S:1:pos:R:3 pbc="T T T"
O -0.608 -1.525 0.832
Br -0.853 -0.949 -2.365
Br -2.388 1.166 0.393
Mn -3.849 -1.308 -1.140
Zn 0.000 0.000 0.000
```

---

# 4
ZrMnBr2O: optimized geometry, PBE+U.

Calculated values
For the density of states at the Fermi level, the calculation gives 2.171 states/eV per atom. As for the volume: 32.00 Å³ per atom. As for the total energy: -4.522 eV per atom.

Cell and atoms, written as extended XYZ:
```
5
Lattice="-4.999 -0.091 1.261 -1.322 -2.287 -5.407 0.561 -4.768 1.880" Properties=species:S:1:pos:R:3 pbc="T T T"
Mn -0.661 -1.144 -2.704
Zr 0.000 0.000 0.000
O -2.880 -3.573 -1.133
Br 0.280 -2.384 0.940
Br -2.499 -0.045 0.630
```